# 1
# ScPSeN2 | Alexandria | PBEsol | relaxed
data_ScPSeN2
_space_group_name_H-M_alt 'P 1'
_space_group_IT_number 1
_cell_length_a 3.964
_cell_length_b 3.964
_cell_length_c 5.406
_cell_angle_alpha 90.00
_cell_angle_beta 90.00
_cell_angle_gamma 90.00
loop_
_space_group_symop_operation_xyz
'x,y,z'
loop_
_atom_site_label
_atom_site_type_symbol
_atom_site_fract_x
_atom_site_fract_y
_atom_site_fract_z
Sc1 Sc 0.000 0.000 0.000
P1 P 0.500 0.500 0.500
Se1 Se 0.000 0.000 0.500
N1 N 0.000 0.500 0.000
N2 N 0.500 0.000 0.000
# crystal system	tetragonal
# SG	P4/mmm, No. 123


# 2
# PSe2N | Alexandria | PBEsol | relaxed
data_PSe2N
_space_group_name_H-M_alt 'P 1'
_space_group_IT_number 1
_cell_length_a 3.595
_cell_length_b 3.595
_cell_length_c 7.153
_cell_angle_alpha 75.45
_cell_angle_beta 75.45
_cell_angle_gamma 60.00
loop_
_space_group_symop_operation_xyz
'x,y,z'
loop_
_atom_site_label
_atom_site_type_symbol
_atom_site_fract_x
_atom_site_fract_y
_atom_site_fract_z
P1 P 0.500 0.500 0.500
Se1 Se 0.914 0.914 0.258
Se2 Se 0.086 0.086 0.742
N1 N 0.000 0.000 0.000
# crystal system	trigonal
# SG	R-3m, No. 166


# 3
# TePSe2N | Alexandria | PBEsol | relaxed
data_TePSe2N
_space_group_name_H-M_alt 'P 1'
_space_group_IT_number 1
_cell_length_a 3.863
_cell_length_b 5.276
_cell_length_c 5.276
_cell_angle_alpha 90.00
_cell_angle_beta 90.00
_cell_angle_gamma 90.00
loop_
_space_group_symop_operation_xyz
'x,y,z'
loop_
_atom_site_label
_atom_site_type_symbol
_atom_site_fract_x
_atom_site_fract_y
_atom_site_fract_z
P1 P 0.500 0.500 0.500
Te1 Te 0.000 0.000 0.000
Se1 Se 0.000 0.000 0.500
Se2 Se 0.000 0.500 0.000
N1 N 0.500 0.000 0.000
# crystal system	tetragonal
# SG	P4/mmm, No. 123


# 4
# TlPSe2N | Alexandria | PBEsol | relaxed
data_TlPSe2N
_space_group_name_H-M_alt 'P 1'
_space_group_IT_number 1
_cell_length_a 3.266
_cell_length_b 5.276
_cell_length_c 5.276
_cell_angle_alpha 90.00
_cell_angle_beta 90.00
_cell_angle_gamma 90.00
loop_
_space_group_symop_operation_xyz
'x,y,z'
loop_
_atom_site_label
_atom_site_type_symbol
_atom_site_fract_x
_atom_site_fract_y
_atom_site_fract_z
P1 P 0.000 0.000 0.000
Tl1 Tl 0.500 0.500 0.500
Se1 Se 0.000 0.000 0.500
Se2 Se 0.000 0.500 0.000
N1 N 0.500 0.000 0.000
# crystal system	tetragonal
# SG	P4/mmm, No. 123


# 5
# PWSeN2 | Alexandria | PBEsol | relaxed
data_PWSeN2
_space_group_name_H-M_alt 'P 1'
_space_group_IT_number 1
_cell_length_a 3.861
_cell_length_b 3.861
_cell_length_c 5.206
_cell_angle_alpha 90.00
_cell_angle_beta 90.00
_cell_angle_gamma 90.00
loop_
_space_group_symop_operation_xyz
'x,y,z'
loop_
_atom_site_label
_atom_site_type_symbol
_atom_site_fract_x
_atom_site_fract_y
_atom_site_fract_z
P1 P 0.500 0.500 0.500
Se1 Se 0.000 0.000 0.500
W1 W 0.000 0.000 0.000
N1 N 0.000 0.500 0.000
N2 N 0.500 0.000 0.000
# crystal system	tetragonal
# SG	P4/mmm, No. 123


# 6
# PWSe2N | Alexandria | PBEsol | relaxed
data_PWSe2N
_space_group_name_H-M_alt 'P 1'
_space_group_IT_number 1
_cell_length_a 3.194
_cell_length_b 4.861
_cell_length_c 4.861
_cell_angle_alpha 90.00
_cell_angle_beta 90.00
_cell_angle_gamma 90.00
loop_
_space_group_symop_operation_xyz
'x,y,z'
loop_
_atom_site_label
_atom_site_type_symbol
_atom_site_fract_x
_atom_site_fract_y
_atom_site_fract_z
P1 P 0.000 0.000 0.000
Se1 Se 0.000 0.000 0.500
Se2 Se 0.000 0.500 0.000
W1 W 0.500 0.500 0.500
N1 N 0.500 0.000 0.000
# crystal system	tetragonal
# SG	P4/mmm, No. 123


# 7
# SiTe2PN | Alexandria | PBEsol | relaxed
data_SiTe2PN
_space_group_name_H-M_alt 'P 1'
_space_group_IT_number 1
_cell_length_a 3.232
_cell_length_b 5.531
_cell_length_c 5.531
_cell_angle_alpha 90.00
_cell_angle_beta 90.00
_cell_angle_gamma 90.00
loop_
_space_group_symop_operation_xyz
'x,y,z'
loop_
_atom_site_label
_atom_site_type_symbol
_atom_site_fract_x
_atom_site_fract_y
_atom_site_fract_z
P1 P 0.000 0.000 0.000
Si1 Si 0.500 0.500 0.500
Te1 Te 0.000 0.000 0.500
Te2 Te 0.000 0.500 0.000
N1 N 0.500 0.000 0.000
# crystal system	tetragonal
# SG	P4/mmm, No. 123


# 8
# SnPN2 | Alexandria | PBEsol | relaxed
data_SnPN2
_space_group_name_H-M_alt 'P 1'
_space_group_IT_number 1
_cell_length_a 2.838
_cell_length_b 2.838
_cell_length_c 6.845
_cell_angle_alpha 78.03
_cell_angle_beta 78.03
_cell_angle_gamma 60.00
loop_
_space_group_symop_operation_xyz
'x,y,z'
loop_
_atom_site_label
_atom_site_type_symbol
_atom_site_fract_x
_atom_site_fract_y
_atom_site_fract_z
P1 P 0.500 0.500 0.500
Sn1 Sn 0.000 0.000 0.000
N1 N 0.879 0.879 0.362
N2 N 0.121 0.121 0.638
# crystal system	trigonal
# polymorph energy (0 for the lowest one)	4	meV/atom
# SG	R-3m, No. 166


# 9
# SnPN2 | Alexandria | PBEsol | relaxed
data_SnPN2
_space_group_name_H-M_alt 'P 1'
_space_group_IT_number 1
_cell_length_a 5.195
_cell_length_b 5.267
_cell_length_c 5.195
_cell_angle_alpha 60.46
_cell_angle_beta 90.00
_cell_angle_gamma 119.54
loop_
_space_group_symop_operation_xyz
'x,y,z'
loop_
_atom_site_label
_atom_site_type_symbol
_atom_site_fract_x
_atom_site_fract_y
_atom_site_fract_z
P1 P 0.250 0.500 0.250
P2 P 0.500 0.000 0.500
Sn1 Sn 0.750 0.500 0.750
Sn2 Sn 0.000 0.000 0.000
N1 N 0.417 0.750 0.375
N2 N 0.333 0.750 0.875
N3 N 0.875 0.250 0.417
N4 N 0.375 0.250 0.333
# crystal system	tetragonal
# polymorph energy (0 for the lowest one)	0	meV/atom
# SG	I-42d, No. 122


# 10
# Sr3PN | Alexandria | PBEsol | relaxed
data_Sr3PN
_space_group_name_H-M_alt 'P 1'
_space_group_IT_number 1
_cell_length_a 5.015
_cell_length_b 5.015
_cell_length_c 5.015
_cell_angle_alpha 90.00
_cell_angle_beta 90.00
_cell_angle_gamma 90.00
loop_
_space_group_symop_operation_xyz
'x,y,z'
loop_
_atom_site_label
_atom_site_type_symbol
_atom_site_fract_x
_atom_site_fract_y
_atom_site_fract_z
Sr1 Sr 0.000 0.500 0.000
Sr2 Sr 0.000 0.000 0.500
Sr3 Sr 0.500 0.000 0.000
P1 P 0.500 0.500 0.500
N1 N 0.000 0.000 0.000
# crystal system	cubic
# polymorph energy (0 for the lowest one)	0	meV/atom
# SG	Pm-3m, No. 221


# 11
# SrTePN2 | Alexandria | PBEsol | relaxed
data_SrTePN2
_space_group_name_H-M_alt 'P 1'
_space_group_IT_number 1
_cell_length_a 4.574
_cell_length_b 4.574
_cell_length_c 6.633
_cell_angle_alpha 90.00
_cell_angle_beta 90.00
_cell_angle_gamma 90.00
loop_
_space_group_symop_operation_xyz
'x,y,z'
loop_
_atom_site_label
_atom_site_type_symbol
_atom_site_fract_x
_atom_site_fract_y
_atom_site_fract_z
Sr1 Sr 0.000 0.000 0.000
N1 N 0.000 0.500 0.000
N2 N 0.500 0.000 0.000
Te1 Te 0.000 0.000 0.500
P1 P 0.500 0.500 0.500
# crystal system	tetragonal
# SG	P4/mmm, No. 123


# 12
# TaPN2 | Alexandria | PBEsol | relaxed
data_TaPN2
_space_group_name_H-M_alt 'P 1'
_space_group_IT_number 1
_cell_length_a 2.737
_cell_length_b 2.737
_cell_length_c 6.469
_cell_angle_alpha 77.79
_cell_angle_beta 77.79
_cell_angle_gamma 60.00
loop_
_space_group_symop_operation_xyz
'x,y,z'
loop_
_atom_site_label
_atom_site_type_symbol
_atom_site_fract_x
_atom_site_fract_y
_atom_site_fract_z
P1 P 0.500 0.500 0.500
N1 N 0.884 0.884 0.348
N2 N 0.116 0.116 0.652
Ta1 Ta 0.000 0.000 0.000
# crystal system	trigonal
# SG	R-3m, No. 166


Number 1: magnetization 0.32 μB per formula unit, uncorrected formation energy 0.92 eV/atom. Number 2: magnetization 0.00 μB per formula unit, uncorrected formation energy 0.82 eV/atom. Number 3: magnetization 0.00 μB per formula unit, uncorrected formation energy 1.24 eV/atom. Number 4: magnetization 0.00 μB per formula unit, uncorrected formation energy 0.31 eV/atom. Number 5: magnetization 0.57 μB per formula unit, uncorrected formation energy 0.61 eV/atom. Number 6: magnetization 1.59 μB per formula unit, uncorrected formation energy 0.88 eV/atom. Number 7: magnetization 0.00 μB per formula unit, uncorrected formation energy 0.59 eV/atom. Number 8: magnetization 0.00 μB per formula unit, uncorrected formation energy 0.02 eV/atom. Number 9: magnetization 0.00 μB per formula unit, uncorrected formation energy 0.02 eV/atom. Number 10: magnetization 0.00 μB per formula unit, uncorrected formation energy -0.85 eV/atom. Number 11: magnetization 5.32 μB per formula unit, uncorrected formation energy 1.77 eV/atom. Number 12: magnetization 0.00 μB per formula unit, uncorrected formation energy -0.17 eV/atom.